*w*
{"formula": "Tl2HPb", "functional": "PBE-GGA", "state": "relaxed", "rho_g_cm3": 9.2, "lattice": [[-3.0415, 3.0415, 6.0261], [3.0415, -3.0415, 6.0261], [3.0415, 3.0415, -6.0261]], "species": ["Tl", "Tl", "Tl", "Tl", "H", "H", "Pb", "Pb"], "frac_coords": [[0.3750, 0.2325, 0.3575], [0.7675, 0.1250, 0.1425], [0.8750, 0.0175, 0.6425], [0.9825, 0.6250, 0.8575], [0.0000, 0.0000, 0.0000], [0.7500, 0.2500, 0.5000], [0.2500, 0.7500, 0.5000], [0.5000, 0.5000, 0.0000]]}

*x*
{"formula": "Tl2HPb", "functional": "PBE-GGA", "state": "relaxed", "rho_g_cm3": 10.1, "lattice": [[0.0000, 3.7076, 3.7076], [3.7076, 0.0000, 3.7076], [3.7076, 3.7076, 0.0000]], "species": ["Tl", "Tl", "H", "Pb"], "frac_coords": [[0.2500, 0.2500, 0.2500], [0.7500, 0.7500, 0.7500], [0.0000, 0.0000, 0.0000], [0.5000, 0.5000, 0.5000]]}

It comes down to *w*, which is 84 meV per atom more stable than the next structure.

*w*
{"formula": "Tm3HPb", "functional": "PBE-GGA", "state": "relaxed", "rho_g_cm3": 10.1, "lattice": [[7.9933, 0.0000, 0.0000], [0.0000, 3.5509, 0.0000], [-0.0945, 0.0000, 8.2959]], "species": ["Tm", "Tm", "Tm", "Tm", "Tm", "Tm", "H", "H", "Pb", "Pb"], "frac_coords": [[0.0306, 0.0000, 0.2299], [0.2633, 0.5000, 0.5322], [0.2828, 0.5000, 0.9599], [0.7172, 0.5000, 0.0401], [0.7367, 0.5000, 0.4678], [0.9694, 0.0000, 0.7701], [0.1259, 0.5000, 0.7503], [0.8741, 0.5000, 0.2497], [0.4449, 0.0000, 0.2558], [0.5551, 0.0000, 0.7442]]}

*x*
{"formula": "Tm3HPb", "functional": "PBE-GGA", "state": "relaxed", "rho_g_cm3": 10.9, "lattice": [[4.7831, 0.0000, 0.0000], [0.0000, 4.7831, 0.0000], [0.0000, 0.0000, 4.7831]], "species": ["Tm", "Tm", "Tm", "H", "Pb"], "frac_coords": [[0.0000, 0.0000, 0.5000], [0.0000, 0.5000, 0.0000], [0.5000, 0.0000, 0.0000], [0.0000, 0.0000, 0.0000], [0.5000, 0.5000, 0.5000]]}

*y*
{"formula": "Tm3HPb", "functional": "PBE-GGA", "state": "relaxed", "rho_g_cm3": 10.2, "lattice": [[3.2408, -5.5386, 0.0000], [3.2408, 5.5386, 0.0000], [-1.2272, 0.0000, 6.4835]], "species": ["Tm", "Tm", "Tm", "Tm", "Tm", "Tm", "H", "H", "Pb", "Pb"], "frac_coords": [[0.0290, 0.9710, 0.5000], [0.4933, 0.5643, 0.6615], [0.5081, 0.9808, 0.3097], [0.5643, 0.4933, 0.1615], [0.9710, 0.0290, 0.0000], [0.9808, 0.5081, 0.8097], [0.6403, 0.7591, 0.4202], [0.7591, 0.6403, 0.9202], [0.0443, 0.4596, 0.3223], [0.4596, 0.0443, 0.8223]]}

It comes down to *y*, which is 34 meV per atom more stable than the next structure.

*w*
{"formula": "VH2Pb", "functional": "PBE-GGA", "state": "relaxed", "rho_g_cm3": 8.5, "lattice": [[-2.9852, 2.9852, 2.8468], [2.9852, -2.9852, 2.8468], [2.9852, 2.9852, -2.8468]], "species": ["V", "V", "H", "H", "H", "H", "Pb", "Pb"], "frac_coords": [[0.0000, 0.0000, 0.0000], [0.7500, 0.2500, 0.5000], [0.3750, 0.0180, 0.1430], [0.7680, 0.6250, 0.6430], [0.8750, 0.2320, 0.8570], [0.9820, 0.1250, 0.3570], [0.2500, 0.7500, 0.5000], [0.5000, 0.5000, 0.0000]]}

*x*
{"formula": "VH2Pb", "functional": "PBE-GGA", "state": "relaxed", "rho_g_cm3": 8.7, "lattice": [[0.0000, 2.9229, 2.9229], [2.9229, 0.0000, 2.9229], [2.9229, 2.9229, 0.0000]], "species": ["V", "H", "H", "Pb"], "frac_coords": [[0.0000, 0.0000, 0.0000], [0.2500, 0.2500, 0.2500], [0.7500, 0.7500, 0.7500], [0.5000, 0.5000, 0.5000]]}

It comes down to *w*, which is 626 meV per atom more stable than the next structure.

*w*
{"formula": "VH3Pb", "functional": "PBE-GGA", "state": "relaxed", "rho_g_cm3": 5.8, "lattice": [[4.2048, 0.0000, 0.0000], [0.0000, 4.2048, 0.0000], [0.0000, 0.0000, 4.2048]], "species": ["V", "H", "H", "H", "Pb"], "frac_coords": [[0.0000, 0.0000, 0.0000], [0.0000, 0.5000, 0.5000], [0.5000, 0.0000, 0.5000], [0.5000, 0.5000, 0.0000], [0.5000, 0.5000, 0.5000]]}

*x*
{"formula": "VH3Pb", "functional": "PBE-GGA", "state": "relaxed", "rho_g_cm3": 8.0, "lattice": [[3.7811, 0.0000, 0.0000], [0.0000, 3.7811, 0.0000], [0.0000, 0.0000, 3.7811]], "species": ["V", "H", "H", "H", "Pb"], "frac_coords": [[0.0000, 0.0000, 0.0000], [0.0000, 0.0000, 0.5000], [0.0000, 0.5000, 0.0000], [0.5000, 0.0000, 0.0000], [0.5000, 0.5000, 0.5000]]}

It comes down to *x*, which is 854 meV per atom more stable than the next structure.

*w*
{"formula": "HPbW2", "functional": "PBE-GGA", "state": "relaxed", "rho_g_cm3": 14.9, "lattice": [[0.0000, 3.1768, 3.1768], [3.1768, 0.0000, 3.1768], [3.1768, 3.1768, 0.0000]], "species": ["H", "Pb", "W", "W"], "frac_coords": [[0.0000, 0.0000, 0.0000], [0.5000, 0.5000, 0.5000], [0.2500, 0.2500, 0.2500], [0.7500, 0.7500, 0.7500]]}

*x*
{"formula": "HPbW2", "functional": "PBE-GGA", "state": "relaxed", "rho_g_cm3": 14.6, "lattice": [[-2.8454, 2.8454, 4.0521], [2.8454, -2.8454, 4.0521], [2.8454, 2.8454, -4.0521]], "species": ["H", "H", "Pb", "Pb", "W", "W", "W", "W"], "frac_coords": [[0.3750, 0.6250, 0.7500], [0.6250, 0.3750, 0.2500], [0.1250, 0.8750, 0.2500], [0.8750, 0.1250, 0.7500], [0.0000, 0.5000, 0.5000], [0.5000, 0.0000, 0.0000], [0.5000, 0.5000, 0.0000], [0.5000, 0.5000, 0.5000]]}

It comes down to *x*, which is 839 meV per atom more stable than the next structure.

*w*
{"formula": "HPb2W", "functional": "PBE-GGA", "state": "relaxed", "rho_g_cm3": 12.1, "lattice": [[0.0000, 3.4557, 3.4557], [3.4557, 0.0000, 3.4557], [3.4557, 3.4557, 0.0000]], "species": ["H", "Pb", "Pb", "W"], "frac_coords": [[0.0000, 0.0000, 0.0000], [0.2500, 0.2500, 0.2500], [0.7500, 0.7500, 0.7500], [0.5000, 0.5000, 0.5000]]}

*x*
{"formula": "HPb2W", "functional": "PBE-GGA", "state": "relaxed", "rho_g_cm3": 13.3, "lattice": [[-3.3438, 3.3438, 3.3427], [3.3438, -3.3438, 3.3427], [3.3438, 3.3438, -3.3427]], "species": ["H", "H", "Pb", "Pb", "Pb", "Pb", "W", "W"], "frac_coords": [[0.0000, 0.0000, 0.0000], [0.7500, 0.2500, 0.5000], [0.0452, 0.6250, 0.9202], [0.3750, 0.2952, 0.4202], [0.7048, 0.1250, 0.0798], [0.8750, 0.9548, 0.5798], [0.2500, 0.7500, 0.5000], [0.5000, 0.5000, 0.0000]]}

It comes down to *x*, which is 223 meV per atom more stable than the next structure.